The following is a DFT calculation (SCAN) of a PBEsol-optimized structure of LaPOs2.

Cell lengths 3.006, 3.006, 7.439 Å; angles 90.00, 90.00, 90.00 degrees
Fractional positions:
La 0.000 0.000 0.000
P 0.500 0.500 0.693
Os 0.000 0.000 0.530
Os 0.500 0.500 0.296

Properties
energy of formation from the pure elements = 47.0 meV per atom
SG = P4mm
raw total energy = -49.269 eV per atom